Density functional theory data (GGA-PBE) for a geometry-optimized La4Y6Ho structure.

```
data_La4Y6Ho
_cell_length_a 9.800
_cell_length_b 9.800
_cell_length_c 9.800
_cell_angle_alpha 58.69
_cell_angle_beta 139.45
_cell_angle_gamma 139.45
_space_group_name_H-M_alt 'P 1'
_space_group_IT_number 1
loop_
_space_group_symop_operation_xyz
'x,y,z'
loop_
_atom_site_label
_atom_site_fract_x
_atom_site_fract_y
_atom_site_fract_z
Y1 0.350 0.556 0.556
Y2 0.000 0.444 0.794
Y3 0.500 0.000 0.500
Y4 0.650 0.206 0.206
Y5 0.000 0.794 0.444
Y6 0.500 0.500 0.000
La1 0.624 0.989 0.989
La2 0.000 0.635 0.011
La3 0.000 0.011 0.635
La4 0.376 0.365 0.365
Ho1 0.000 0.000 0.000
```

Results
ΔH_f (0 K) = 302 meV/atom